Material: MnRu2Pt
Method: DFT, PBE-GGA
State: optimized geometry

Structure (CIF):
```
data_MnRu2Pt
_cell_length_a 2.6876
_cell_length_b 2.6876
_cell_length_c 26.3479
_cell_angle_alpha 90.00
_cell_angle_beta 90.00
_cell_angle_gamma 120.00
_space_group_name_H-M_alt 'R -3 m'
_space_group_IT_number 166
_space_group_name_Hall '-R 3 2"'
loop_
_atom_site_label
_atom_site_type_symbol
_atom_site_fract_x
_atom_site_fract_y
_atom_site_fract_z
Mn1 Mn 0.0000 0.0000 0.0000
Ru1 Ru 0.0000 0.0000 0.2566
Pt1 Pt 0.0000 0.0000 0.5000
```

Total DFT energy (no corrections) in eV/atom: -8.376
Formation enthalpy at 0 K in kJ/mol of formula units: 25